LaSi2Au | SCAN | single point on PBEsol structure

a = 6.801 Å, b = 6.801 Å, c = 6.801 Å
α = 90.00°, β = 90.00°, γ = 90.00°
Sites, in units of the cell vectors:
La1 0.000 0.000 0.000
La2 0.000 0.500 0.500
La3 0.500 0.000 0.500
La4 0.500 0.500 0.000
Si1 0.250 0.250 0.250
Si2 0.250 0.250 0.750
Si3 0.250 0.750 0.250
Si4 0.250 0.750 0.750
Si5 0.750 0.250 0.250
Si6 0.750 0.250 0.750
Si7 0.750 0.750 0.250
Si8 0.750 0.750 0.750
Au1 0.000 0.000 0.500
Au2 0.000 0.500 0.000
Au3 0.500 0.000 0.000
Au4 0.500 0.500 0.500

Properties
crystal system: cubic
final energy: -33.115 eV/atom

SrLa3Au | SCAN | single point on PBEsol structure

a = 5.627 Å, b = 5.627 Å, c = 5.627 Å
α = 90.00°, β = 90.00°, γ = 90.00°
Sites, in units of the cell vectors:
Sr1 0.000 0.000 0.000
La1 0.000 0.000 0.500
La2 0.000 0.500 0.000
La3 0.500 0.000 0.000
Au1 0.500 0.500 0.500

Properties
crystal system: cubic
ΔE to the lowest computed polymorph: 1.230 eV per atom

SrLa2Au | SCAN | single point on PBEsol structure

a = 3.758 Å, b = 3.758 Å, c = 9.129 Å
α = 90.00°, β = 90.00°, γ = 90.00°
Sites, in units of the cell vectors:
Sr1 0.000 0.000 0.000
La1 0.000 0.000 0.395
La2 0.500 0.500 0.662
Au1 0.500 0.500 0.215

Properties
crystal system: tetragonal
ΔE to the lowest computed polymorph: 0.000 eV per atom